No. 1
Entry from the Alexandria database: a relaxed structure of AgIr2Cl (PBE).

Geometry as POSCAR:
```
AgIr2Cl
1.0
4.174 -1.428 0.000
4.174 1.428 0.000
-3.684 0.000 6.928
Ag Ir Cl
1 2 1
Cartesian
0.000 0.000 0.000 Ag
-1.326 0.000 5.213 Ir
0.942 0.000 4.352 Ir
4.819 0.000 2.239 Cl
```

Summary:
The distance to the lowest polymorph of the same formula comes out at 0.167 eV per atom. For the spin magnetization, the calculation gives 0.000 μB/f.u. As for the symmetry: Cm (8). The crystal system is monoclinic. For the total energy, the calculation gives -5.129 eV per atom. The calculated volume comes out at 83 Å³/cell. The value obtained for the uncorrected formation energy is 46 kJ/mol of atoms.

=====

No. 2
Entry from the Alexandria database: a relaxed structure of AgIr2Cl (PBE).

Geometry as POSCAR:
```
AgIr2Cl
1.0
5.279 -1.394 0.000
5.279 1.394 0.000
-2.064 0.000 4.355
Ag Ir Cl
1 2 1
Cartesian
0.000 0.000 0.000 Ag
0.926 0.000 3.196 Ir
7.568 0.000 1.159 Ir
4.247 0.000 2.178 Cl
```

Summary:
The distance to the lowest polymorph of the same formula comes out at 0.408 eV per atom. For the spin magnetization, the calculation gives 0.000 μB/f.u. As for the symmetry: C2/m (12). The crystal system is monoclinic. For the total energy, the calculation gives -4.888 eV per atom. The calculated volume comes out at 64 Å³/cell. The value obtained for the uncorrected formation energy is 69 kJ/mol of atoms.

=====

No. 3
Entry from the Alexandria database: a relaxed structure of Ag2IrCl (PBE).

Geometry as POSCAR:
```
Ag2IrCl
1.0
2.954 0.000 0.000
0.000 2.996 0.000
-0.015 0.000 8.240
Ag Ir Cl
2 1 1
Cartesian
0.001 0.000 1.926 Ag
2.937 0.000 6.315 Ag
1.477 1.498 0.000 Ir
-0.008 1.498 4.120 Cl
```

Summary:
The distance to the lowest polymorph of the same formula comes out at 0.050 eV per atom. For the spin magnetization, the calculation gives 1.099 μB/f.u. As for the symmetry: P2/m (10). The crystal system is monoclinic. For the total energy, the calculation gives -3.739 eV per atom. The calculated volume comes out at 73 Å³/cell. The value obtained for the uncorrected formation energy is 35 kJ/mol of atoms.